# Tl2SiRh

A relaxed structure of Tl2SiRh (GGA-PBE, the Alexandria database).

POSCAR file:
```
Tl2SiRh
1.0
-2.190 2.190 4.260
2.190 -2.190 4.260
2.190 2.190 -4.260
Tl Si Rh
2 1 1
direct
0.000 0.000 0.000
0.750 0.250 0.500
0.500 0.500 0.000
0.250 0.750 0.500
```

Values from the calculation:
crystal system = tetragonal

---

# TlSi2Rh

A relaxed structure of TlSi2Rh (GGA-PBE, the Alexandria database).

POSCAR file:
```
TlSi2Rh
1.0
2.718 -4.727 0.000
2.718 4.727 0.000
-2.677 0.000 2.774
Tl Si Rh
1 2 1
direct
0.000 0.000 0.000
0.000 0.500 0.500
0.500 0.000 0.500
0.500 0.500 0.000
```

Values from the calculation:
crystal system = monoclinic

---

# TlSi2Rh

A relaxed structure of TlSi2Rh (GGA-PBE, the Alexandria database).

POSCAR file:
```
TlSi2Rh
1.0
2.690 -3.854 0.000
2.690 3.854 0.000
0.000 0.000 3.384
Tl Si Rh
1 2 1
direct
0.000 0.000 0.000
0.000 0.500 0.500
0.500 0.000 0.500
0.500 0.500 0.000
```

Values from the calculation:
crystal system = orthorhombic

---

# Tl2SiRh

A relaxed structure of Tl2SiRh (GGA-PBE, the Alexandria database).

POSCAR file:
```
Tl2SiRh
1.0
4.006 0.000 0.000
0.000 4.038 0.000
0.000 0.000 5.093
Tl Si Rh
2 1 1
direct
0.000 0.000 0.000
0.500 0.000 0.500
0.000 0.500 0.500
0.500 0.500 0.000
```

Values from the calculation:
crystal system = orthorhombic

---

# TlSiRh2

A relaxed structure of TlSiRh2 (GGA-PBE, the Alexandria database).

POSCAR file:
```
TlSiRh2
1.0
3.036 -3.437 0.000
3.036 3.437 0.000
-0.015 0.000 3.048
Tl Si Rh
1 1 2
direct
0.000 0.000 0.000
0.500 0.500 0.000
0.000 0.500 0.500
0.500 0.000 0.500
```

Values from the calculation:
crystal system = monoclinic

---

# TlSiRh2

A relaxed structure of TlSiRh2 (GGA-PBE, the Alexandria database).

POSCAR file:
```
TlSiRh2
1.0
3.308 0.000 0.000
0.000 3.308 0.000
0.000 0.000 6.417
Tl Si Rh
1 1 2
direct
0.000 0.000 0.000
0.500 0.500 0.614
0.000 0.000 0.544
0.500 0.500 0.249
```

Values from the calculation:
crystal system = tetragonal

---

# TlSi2Rh

A relaxed structure of TlSi2Rh (GGA-PBE, the Alexandria database).

POSCAR file:
```
TlSi2Rh
1.0
1.609 0.929 7.945
-1.609 0.929 7.945
0.000 -1.857 7.945
Tl Si Rh
1 2 1
direct
0.000 0.000 0.000
0.508 0.508 0.508
0.767 0.767 0.767
0.237 0.237 0.237
```

Values from the calculation:
crystal system = trigonal

---

# Tl2SiRh

A relaxed structure of Tl2SiRh (GGA-PBE, the Alexandria database).

POSCAR file:
```
Tl2SiRh
1.0
3.175 0.000 0.000
0.000 3.175 0.000
0.000 0.000 8.885
Tl Si Rh
2 1 1
direct
0.000 0.000 0.000
0.500 0.500 0.362
0.500 0.500 0.733
0.000 0.000 0.628
```

Values from the calculation:
crystal system = tetragonal

---

Total DFT energy (no corrections), respectively: -3.8965, -4.7256, -4.6984, -3.8912, -5.6561, -5.7129, -5.0468, -4.4796 eV/atom.
Magnetization, respectively: 0.00, 0.00, 0.00, 0.00, 0.00, 0.00, 0.00, 0.00 Bohr magnetons per cell.
V, respectively: 82, 71, 70, 82, 64, 70, 71, 90 Å³/cell.